Density functional theory data (GGA-PBE) for a relaxed structure of LiZnSb2.

Output
Space group: P4mm
Electronic total energy in eV per atom: -2.8849

```
4
Lattice="-1.575 3.608 -0.241 -2.624 -1.321 -2.632 -3.625 -1.298 4.265" Properties=species:S:1:pos:R:3 pbc="T T T"
Sb -3.515 -1.258 4.135
Sb -3.097 0.787 -0.263
Li -4.893 0.143 1.850
Zn -1.757 -0.629 2.067
```